[1]
Al2TlCr | PBE | relaxed

Computed properties:
Polymorph energy (0 for the lowest one), eV/atom: 0.121
Space group: Imm2, No. 44
Theoretical density, g/cm³: 6.435

abc: 6.950 6.950 6.950
angles: 155.86 144.21 43.64
Atoms (fractional coordinates):
Al  0.012  0.012  0.000
Al  0.671  0.171  0.500
Cr  0.506  0.506  0.000
Tl  0.312  0.812  0.500

[2]
TmScAlAg | PBE | relaxed

Computed properties:
Polymorph energy (0 for the lowest one), eV/atom: 0.000
Space group: P4mm, No. 99
Theoretical density, g/cm³: 6.774

abc: 3.438 3.438 7.234
angles: 90.00 90.00 90.00
Atoms (fractional coordinates):
Tm  0.500  0.500  0.107
Sc  0.500  0.500  0.604
Al  0.000  0.000  0.840
Ag  0.000  0.000  0.376

[3]
HWBr3 | PBE | relaxed

Computed properties:
Polymorph energy (0 for the lowest one), eV/atom: 1.108
Space group: Pm-3m, No. 221
Theoretical density, g/cm³: 7.209

abc: 4.607 4.607 4.607
angles: 90.00 90.00 90.00
Atoms (fractional coordinates):
Br  0.500  0.000  0.000
Br  0.000  0.500  0.000
Br  0.000  0.000  0.500
W  0.500  0.500  0.500
H  0.000  0.000  0.000

[4]
Cs2TbNpS4 | PBE | relaxed

Computed properties:
Space group: P2/m, No. 10
Theoretical density, g/cm³: 5.466
Uncorrected formation energy, eV/atom: -1.58

abc: 4.143 7.188 8.409
angles: 106.57 90.00 90.00
Atoms (fractional coordinates):
Cs  0.000  0.500  0.500
Cs  0.500  0.000  0.500
S  0.000  0.727  0.180
S  0.500  0.775  0.818
S  0.500  0.225  0.182
S  0.000  0.273  0.820
Tb  0.000  0.000  0.000
Np  0.500  0.500  0.000